Record 1
A PBEsol-optimized structure of ZrMnGeRu2. Source: Alexandria via LeMat-Bulk, functional meta-GGA SCAN.

```
5
Lattice="4.469 0.000 0.000 0.000 4.469 0.000 0.000 0.000 4.295" Properties=species:S:1:pos:R:3 pbc="T T T"
Zr 0.000 0.000 0.000
Mn 2.234 2.234 0.000
Ge 2.234 2.234 2.147
Ru 0.000 2.234 2.147
Ru 2.234 0.000 2.147
```

Values from the calculation:
The crystal system is tetragonal. As for the magnetization: 3.1 μB per cell. As for the total energy: -27.272 eV per atom. For the calculated formation energy, the calculation gives 0.27 eV/atom. The calculation puts the density of states at the Fermi level at 1.88 states/eV/f.u. The value obtained for the volume is 17.151 Å³ per atom.

=====

Record 2
A PBEsol-optimized structure of MnGe3S. Source: Alexandria via LeMat-Bulk, functional meta-GGA SCAN.

```
5
Lattice="4.512 0.000 0.000 0.000 4.512 0.000 0.000 0.000 4.512" Properties=species:S:1:pos:R:3 pbc="T T T"
Mn 0.000 0.000 0.000
Ge 0.000 0.000 2.256
Ge 0.000 2.256 0.000
Ge 2.256 0.000 0.000
S 2.256 2.256 2.256
```

Values from the calculation:
The crystal system is cubic. As for the magnetization: 1.0 μB per cell. As for the total energy: -16.779 eV per atom. The calculation puts the density of states at the Fermi level at 4.54 states/eV/f.u. The value obtained for the volume is 18.376 Å³ per atom. The formation energy (no corrections) is 24.1 kJ per mole of atoms.

=====

Record 3
A PBEsol-optimized structure of Mn2GeS4. Source: Alexandria via LeMat-Bulk, functional meta-GGA SCAN.

```
28
Lattice="12.040 0.000 0.000 0.000 6.947 0.000 0.000 0.000 6.082" Properties=species:S:1:pos:R:3 pbc="T T T"
Mn 0.000 0.000 0.000
Mn 0.000 3.473 0.000
Mn 2.858 1.737 3.000
Mn 3.162 5.210 6.041
Mn 6.020 0.000 3.041
Mn 6.020 3.473 3.041
Mn 8.878 1.737 0.041
Mn 9.182 5.210 3.082
Ge 1.049 5.210 3.520
Ge 4.970 1.737 0.479
Ge 7.069 5.210 5.603
Ge 10.990 1.737 2.562
S 0.973 1.737 1.451
S 1.072 5.210 1.157
S 2.001 0.031 4.631
S 2.001 3.443 4.631
S 4.019 3.504 1.590
S 4.019 6.916 1.590
S 4.948 1.737 4.198
S 5.047 5.210 4.492
S 6.993 1.737 1.590
S 7.092 5.210 1.883
S 8.021 0.031 4.492
S 8.021 3.443 4.492
S 10.039 3.504 1.451
S 10.039 6.916 1.451
S 10.968 1.737 4.924
S 11.067 5.210 4.631
```

Values from the calculation:
The crystal system is orthorhombic. As for the magnetization: 35.4 μB per cell. As for the total energy: -14.147 eV per atom. The calculation puts the density of states at the Fermi level at 3.47 states/eV/f.u. The value obtained for the volume is 18.167 Å³ per atom. The formation energy (no corrections) is -67.8 kJ per mole of atoms.

=====

Record 4
A PBEsol-optimized structure of Tm6MnGe2S14. Source: Alexandria via LeMat-Bulk, functional meta-GGA SCAN.

```
23
Lattice="9.548 0.000 0.000 -4.774 8.269 0.000 0.000 0.000 5.707" Properties=species:S:1:pos:R:3 pbc="T T T"
Tm -2.403 4.569 0.000
Tm 2.397 0.924 2.886
Tm 2.019 3.903 0.000
Tm 0.384 8.065 0.000
Tm 4.376 5.731 2.886
Tm 7.549 1.614 2.886
Mn 4.774 2.756 1.674
Ge 0.000 0.000 5.309
Ge 0.000 5.512 2.412
S 0.000 0.000 1.785
S -3.182 7.030 4.364
S 0.276 1.998 4.364
S -0.266 3.513 1.474
S -1.598 6.743 1.474
S 0.000 5.512 4.600
S 3.085 1.506 0.338
S 2.833 3.579 3.103
S 5.032 0.664 3.103
S 1.865 6.281 1.474
S 2.905 7.509 4.364
S 4.536 4.844 0.338
S 6.701 1.919 0.338
S 6.457 4.026 3.103
```

Values from the calculation:
The crystal system is trigonal. As for the magnetization: 5.0 μB per cell. As for the total energy: -23.552 eV per atom. The value obtained for the volume is 19.590 Å³ per atom. The formation energy (no corrections) is -165.6 kJ per mole of atoms.

=====

Record 5
A PBEsol-optimized structure of Sc7Mn6Ge8. Source: Alexandria via LeMat-Bulk, functional meta-GGA SCAN.

```
42
Lattice="-4.882 4.882 6.872 4.882 -4.882 6.872 4.882 4.882 -6.872" Properties=species:S:1:pos:R:3 pbc="T T T"
Sc 4.882 2.421 -2.610
Sc 0.000 0.000 2.248
Sc 2.421 4.882 -2.610
Sc 2.460 0.000 4.261
Sc 3.101 3.101 0.000
Sc 1.780 -1.780 6.872
Sc 4.882 2.421 2.610
Sc 0.000 2.460 4.261
Sc -1.780 1.780 6.872
Sc 1.780 1.780 6.872
Sc 2.421 4.882 2.610
Sc 2.460 0.000 9.482
Sc 0.000 0.000 11.496
Sc 0.000 2.460 9.482
Mn 3.106 0.000 1.291
Mn 6.657 0.000 1.291
Mn 1.103 1.103 0.000
Mn 3.778 -3.778 6.872
Mn 4.882 -1.776 5.581
Mn 0.000 3.106 1.291
Mn 4.882 1.776 5.581
Mn 0.000 6.657 1.291
Mn -3.778 3.778 6.872
Mn 3.778 3.778 6.872
Mn -1.776 4.882 5.581
Mn 1.776 4.882 5.581
Ge 1.968 1.968 -2.216
Ge 2.914 -2.914 4.656
Ge 4.882 1.218 0.000
Ge 4.882 0.000 3.436
Ge 1.968 1.968 2.216
Ge 2.914 -2.914 9.088
Ge 0.000 0.000 5.387
Ge 1.218 4.882 0.000
Ge 3.663 0.000 6.872
Ge 0.000 0.000 8.356
Ge -2.914 2.914 4.656
Ge 2.914 2.914 4.656
Ge 0.000 4.882 3.436
Ge 0.000 3.663 6.872
Ge -2.914 2.914 9.088
Ge 2.914 2.914 9.088
```

Values from the calculation:
The crystal system is tetragonal. As for the magnetization: 23.8 μB per cell. As for the total energy: -17.877 eV per atom. For the calculated formation energy, the calculation gives -0.64 eV/atom. The calculation puts the density of states at the Fermi level at 12.23 states/eV/f.u. The value obtained for the volume is 15.596 Å³ per atom.

=====

Record 6
A PBEsol-optimized structure of ScMnGe3. Source: Alexandria via LeMat-Bulk, functional meta-GGA SCAN.

```
5
Lattice="4.527 0.000 0.000 0.000 4.527 0.000 0.000 0.000 4.527" Properties=species:S:1:pos:R:3 pbc="T T T"
Sc 0.000 0.000 0.000
Mn 2.264 2.264 2.264
Ge 0.000 2.264 2.264
Ge 2.264 0.000 2.264
Ge 2.264 2.264 0.000
```

Values from the calculation:
The crystal system is cubic. As for the magnetization: 1.9 μB per cell. As for the total energy: -17.912 eV per atom. For the calculated formation energy, the calculation gives 0.04 eV/atom. The calculation puts the density of states at the Fermi level at 2.96 states/eV/f.u. The value obtained for the volume is 18.559 Å³ per atom.

=====

Record 7
A PBEsol-optimized structure of ScMnGe. Source: Alexandria via LeMat-Bulk, functional meta-GGA SCAN.

```
9
Lattice="6.512 0.000 0.000 -3.256 5.639 0.000 0.000 0.000 3.851" Properties=species:S:1:pos:R:3 pbc="T T T"
Sc -1.355 2.347 0.000
Sc 2.711 0.000 0.000
Sc 1.900 3.292 0.000
Mn -2.508 4.344 1.925
Mn 0.748 1.295 1.925
Mn 5.016 0.000 1.925
Ge 0.000 0.000 0.000
Ge 0.000 3.759 1.925
Ge 3.256 1.880 1.925
```

Values from the calculation:
The crystal system is hexagonal. As for the magnetization: 7.6 μB per cell. As for the total energy: -17.902 eV per atom. For the calculated formation energy, the calculation gives -0.71 eV/atom. The calculation puts the density of states at the Fermi level at 2.13 states/eV/f.u. The value obtained for the volume is 15.710 Å³ per atom.

=====

Record 8
A PBEsol-optimized structure of MnSi3Ge. Source: Alexandria via LeMat-Bulk, functional meta-GGA SCAN.

```
5
Lattice="4.692 0.000 0.000 0.000 4.692 0.000 0.000 0.000 4.692" Properties=species:S:1:pos:R:3 pbc="T T T"
Mn 0.000 0.000 0.000
Si 0.000 2.346 2.346
Si 2.346 0.000 2.346
Si 2.346 2.346 0.000
Ge 2.346 2.346 2.346
```

Values from the calculation:
The crystal system is cubic. As for the magnetization: 4.5 μB per cell. As for the total energy: -12.263 eV per atom. The calculation puts the density of states at the Fermi level at 2.93 states/eV/f.u. The value obtained for the volume is 20.660 Å³ per atom. The formation energy (no corrections) is 117.2 kJ per mole of atoms.

=====

Record 9
A PBEsol-optimized structure of Mn2SiGe. Source: Alexandria via LeMat-Bulk, functional meta-GGA SCAN.

```
4
Lattice="0.000 2.825 2.825 2.825 0.000 2.825 2.825 2.825 0.000" Properties=species:S:1:pos:R:3 pbc="T T T"
Mn 1.413 1.413 1.413
Mn 4.238 4.238 4.238
Si 0.000 0.000 0.000
Ge 2.825 2.825 2.825
```

Values from the calculation:
The crystal system is cubic. As for the magnetization: 1.7 μB per cell. As for the total energy: -16.496 eV per atom. The calculation puts the density of states at the Fermi level at 3.70 states/eV/f.u. The value obtained for the volume is 11.275 Å³ per atom. The formation energy (no corrections) is -9.0 kJ per mole of atoms.

=====

Record 10
A PBEsol-optimized structure of MnSiGe3. Source: Alexandria via LeMat-Bulk, functional meta-GGA SCAN.

```
5
Lattice="4.538 0.000 0.000 0.000 4.538 0.000 0.000 0.000 4.538" Properties=species:S:1:pos:R:3 pbc="T T T"
Mn 0.000 0.000 0.000
Si 2.269 2.269 2.269
Ge 0.000 0.000 2.269
Ge 0.000 2.269 0.000
Ge 2.269 0.000 0.000
```

Values from the calculation:
The crystal system is cubic. As for the magnetization: 2.4 μB per cell. As for the total energy: -16.519 eV per atom. The calculation puts the density of states at the Fermi level at 2.31 states/eV/f.u. The value obtained for the volume is 18.685 Å³ per atom. The formation energy (no corrections) is 56.7 kJ per mole of atoms.

=====

Record 11
A PBEsol-optimized structure of SmMn2Ge2. Source: Alexandria via LeMat-Bulk, functional meta-GGA SCAN.

```
5
Lattice="-1.960 1.960 5.359 1.960 -1.960 5.359 1.960 1.960 -5.359" Properties=species:S:1:pos:R:3 pbc="T T T"
Sm 0.000 0.000 0.000
Mn 1.960 0.000 2.679
Mn 0.000 1.960 2.679
Ge 0.000 0.000 4.055
Ge 0.000 0.000 6.662
```

Values from the calculation:
The crystal system is tetragonal. As for the magnetization: 4.5 μB per cell. As for the total energy: -24.460 eV per atom. For the calculated formation energy, the calculation gives -0.63 eV/atom. The calculation puts the density of states at the Fermi level at 2.60 states/eV/f.u. The value obtained for the volume is 16.461 Å³ per atom.

=====

> What is the volume in the second record?

18.376 Å³ per atom

=====

> Among the records above, which one has the highest volume?

MnSi3Ge